Record 1
DFT (PBE) results for a relaxed Ti2BeI crystal.

The structure in extended XYZ format:
```
8
Lattice="-2.798 2.798 5.950 2.798 -2.798 5.950 2.798 2.798 -5.950" Properties=species:S:1:pos:R:3 pbc="T T T"
Ti 4.197 0.915 -1.487
Ti 0.915 1.399 1.487
Ti -1.399 1.883 4.462
Ti 1.883 1.399 7.437
Be 0.000 0.000 0.000
Be 0.000 2.798 2.975
I 2.798 0.000 2.975
I 0.000 0.000 5.950
```

ΔE to the lowest computed polymorph = 0.241 eV/atom
total moment = 0.000 μB per formula unit


Record 2
DFT (PBE) results for a relaxed Ta2CuNi crystal.

The structure in extended XYZ format:
```
4
Lattice="4.789 0.000 0.000 0.000 2.792 0.000 -1.669 0.000 4.576" Properties=species:S:1:pos:R:3 pbc="T T T"
Ta 0.000 0.000 0.000
Ta -0.834 1.396 2.288
Cu 1.560 0.000 2.288
Ni 2.394 1.396 0.000
```

ΔE to the lowest computed polymorph = 0.259 eV/atom
total moment = 0.000 μB per formula unit
DFT formation energy = 0.190 eV per atom


Record 3
DFT (PBE) results for a relaxed Li5Ga4Hg crystal.

The structure in extended XYZ format:
```
10
Lattice="3.210 0.000 0.000 0.000 3.210 0.000 0.000 0.000 15.641" Properties=species:S:1:pos:R:3 pbc="T T T"
Li 0.000 0.000 0.000
Li 0.000 0.000 2.953
Li 0.000 0.000 6.041
Li 0.000 0.000 9.601
Li 0.000 0.000 12.688
Ga 1.605 1.605 1.502
Ga 1.605 1.605 4.437
Ga 1.605 1.605 11.204
Ga 1.605 1.605 14.139
Hg 1.605 1.605 7.821
```

total moment = 0.000 μB per formula unit
DFT formation energy = -0.279 eV per atom


Record 4
DFT (PBE) results for a relaxed CsCuRuI6 crystal.

The structure in extended XYZ format:
```
9
Lattice="7.185 0.000 0.000 -3.592 6.222 0.000 0.000 0.000 8.833" Properties=species:S:1:pos:R:3 pbc="T T T"
Cs 0.000 0.000 0.000
Cu 3.592 2.074 4.416
Ru 0.000 4.148 4.416
I -1.259 2.311 5.956
I -2.220 3.977 2.877
I 1.259 2.311 2.877
I -0.962 6.157 5.956
I 2.220 3.977 5.956
I 0.962 6.157 2.877
```

total moment = 2.130 μB per formula unit
total energy = -26.63 eV for the cell shown


Record 5
DFT (PBE) results for a relaxed B4C crystal.

The structure in extended XYZ format:
```
5
Lattice="1.540 -3.781 0.000 1.540 3.781 0.000 -1.318 0.000 2.818" Properties=species:S:1:pos:R:3 pbc="T T T"
B 0.000 0.000 0.000
B 0.881 -0.001 1.409
B 0.162 -2.285 1.883
B 1.599 -2.285 0.935
C 1.540 -0.811 0.000
```

ΔE to the lowest computed polymorph = 0.493 eV/atom
total moment = 0.000 μB per formula unit
DFT formation energy = 0.391 eV per atom


Record 6
DFT (PBE) results for a relaxed TaReTc2 crystal.

The structure in extended XYZ format:
```
4
Lattice="-1.572 2.240 4.418 1.572 -2.240 4.418 1.572 2.240 -4.418" Properties=species:S:1:pos:R:3 pbc="T T T"
Ta 0.000 0.000 0.000
Re 0.000 0.000 4.418
Tc 1.572 0.000 2.155
Tc 0.000 2.240 2.262
```

ΔE to the lowest computed polymorph = 0.019 eV/atom
total moment = 0.000 μB per formula unit
DFT formation energy = -0.058 eV per atom


Record 7
DFT (PBE) results for a relaxed KN3O crystal.

The structure in extended XYZ format:
```
5
Lattice="3.957 0.000 0.000 0.000 3.957 0.000 0.000 0.000 3.957" Properties=species:S:1:pos:R:3 pbc="T T T"
K 0.000 0.000 0.000
N 0.000 1.978 1.978
N 1.978 0.000 1.978
N 1.978 1.978 0.000
O 1.978 1.978 1.978
```

total moment = 4.951 μB per formula unit
total energy = -18.37 eV for the cell shown


Record 8
DFT (PBE) results for a relaxed HAuSe crystal.

The structure in extended XYZ format:
```
3
Lattice="3.507 -1.436 0.000 3.507 1.436 0.000 -0.049 0.000 5.340" Properties=species:S:1:pos:R:3 pbc="T T T"
H 0.000 0.000 0.000
Au 1.476 0.000 2.693
Se 1.492 0.000 0.024
```

ΔE to the lowest computed polymorph = 0.307 eV/atom
total moment = 0.000 μB per formula unit


Record 9
DFT (PBE) results for a relaxed Na2FeB2Pt5 crystal.

The structure in extended XYZ format:
```
20
Lattice="10.057 0.000 0.000 0.000 10.057 0.000 0.000 0.000 2.811" Properties=species:S:1:pos:R:3 pbc="T T T"
Na 1.823 3.206 0.000
Na 3.206 8.234 0.000
Na 6.851 1.823 0.000
Na 8.234 6.851 0.000
Fe 0.000 0.000 0.000
Fe 5.029 5.029 0.000
B 1.272 6.300 0.000
B 3.757 1.272 0.000
B 6.300 8.786 0.000
B 8.786 3.757 0.000
Pt 0.000 5.029 1.406
Pt 0.625 7.840 1.406
Pt 2.217 0.625 1.406
Pt 2.812 5.654 1.406
Pt 4.403 2.812 1.406
Pt 5.029 0.000 1.406
Pt 5.654 7.245 1.406
Pt 7.245 4.403 1.406
Pt 7.840 9.432 1.406
Pt 9.432 2.217 1.406
```

total moment = 3.112 μB per formula unit
DFT formation energy = -0.306 eV per atom


Record 10
DFT (PBE) results for a relaxed SiTc2Ir crystal.

The structure in extended XYZ format:
```
4
Lattice="-1.876 1.876 3.975 1.876 -1.876 3.975 1.876 1.876 -3.975" Properties=species:S:1:pos:R:3 pbc="T T T"
Si 0.000 0.000 0.000
Tc 1.876 0.000 1.988
Tc 0.000 1.876 1.988
Ir 0.000 0.000 3.975
```

total moment = 0.000 μB per formula unit
total energy = -35.73 eV for the cell shown


Record 11
DFT (PBE) results for a relaxed La3CF3 crystal.

The structure in extended XYZ format:
```
14
Lattice="3.431 1.981 6.847 -3.431 1.981 6.847 0.000 -3.962 6.847" Properties=species:S:1:pos:R:3 pbc="T T T"
La -1.222 -1.848 8.363
La -2.211 0.134 12.179
La -0.989 1.982 8.363
La 0.989 -1.982 12.179
La 2.211 -0.134 8.363
La 1.222 1.848 12.179
C 0.000 0.000 6.842
C 0.000 0.000 13.700
F -2.333 0.130 9.486
F -1.279 -1.955 11.055
F 1.054 -2.085 9.486
F -1.054 2.085 11.055
F 1.279 1.955 9.486
F 2.333 -0.130 11.055
```

total moment = 0.000 μB per formula unit
total energy = -92.54 eV for the cell shown


Record 12
DFT (PBE) results for a relaxed LaPdCl crystal.

The structure in extended XYZ format:
```
3
Lattice="-1.897 1.897 4.890 1.897 -1.897 4.890 1.897 1.897 -4.890" Properties=species:S:1:pos:R:3 pbc="T T T"
La 0.000 0.000 0.000
Pd 0.000 0.000 6.282
Cl 0.000 0.000 3.113
```

ΔE to the lowest computed polymorph = 0.372 eV/atom
total moment = 0.000 μB per formula unit


Record 13
DFT (PBE) results for a relaxed AgP2CO crystal.

The structure in extended XYZ format:
```
5
Lattice="4.810 0.000 0.000 0.000 4.810 0.000 0.000 0.000 3.869" Properties=species:S:1:pos:R:3 pbc="T T T"
Ag 0.000 0.000 0.000
P 0.000 2.405 0.000
P 2.405 0.000 0.000
C 2.405 2.405 1.934
O 0.000 0.000 1.934
```

ΔE to the lowest computed polymorph = 1.143 eV/atom
total moment = 0.364 μB per formula unit


Record 14
DFT (PBE) results for a relaxed SrAlCo2 crystal.

The structure in extended XYZ format:
```
4
Lattice="2.068 1.194 5.543 -2.068 1.194 5.543 0.000 -2.388 5.543" Properties=species:S:1:pos:R:3 pbc="T T T"
Sr 0.000 0.000 0.000
Al 0.000 0.000 13.525
Co 0.000 0.000 3.148
Co 0.000 0.000 8.507
```

total moment = 2.437 μB per formula unit
DFT formation energy = -0.093 eV per atom


Record 15
DFT (PBE) results for a relaxed Rb2LiOs2 crystal.

The structure in extended XYZ format:
```
5
Lattice="-2.515 2.515 7.238 2.515 -2.515 7.238 2.515 2.515 -7.238" Properties=species:S:1:pos:R:3 pbc="T T T"
Rb 2.515 0.000 3.619
Rb 0.000 2.515 3.619
Li 0.000 0.000 0.000
Os 0.000 0.000 6.112
Os 0.000 0.000 8.364
```

ΔE to the lowest computed polymorph = 0.491 eV/atom
total moment = 4.953 μB per formula unit
DFT formation energy = 1.823 eV per atom


Record 16
DFT (PBE) results for a relaxed Cr2ReW crystal.

The structure in extended XYZ format:
```
4
Lattice="4.254 0.000 0.000 0.000 4.254 0.000 0.000 0.000 3.011" Properties=species:S:1:pos:R:3 pbc="T T T"
Cr 0.000 2.127 0.000
Cr 2.127 0.000 0.000
Re 0.000 0.000 1.505
W 2.127 2.127 1.505
```

total moment = 0.000 μB per formula unit
DFT formation energy = 0.031 eV per atom


Record 17
DFT (PBE) results for a relaxed CaNi2Se crystal.

The structure in extended XYZ format:
```
4
Lattice="4.004 0.000 0.000 0.000 4.004 0.000 0.000 0.000 4.072" Properties=species:S:1:pos:R:3 pbc="T T T"
Ca 0.000 0.000 0.000
Ni 0.000 2.002 2.036
Ni 2.002 0.000 2.036
Se 2.002 2.002 0.000
```

total moment = 0.301 μB per formula unit
total energy = -17.65 eV for the cell shown


Record 18
DFT (PBE) results for a relaxed RbTb2AgTe4 crystal.

The structure in extended XYZ format:
```
16
Lattice="2.247 -7.647 0.000 2.247 7.647 0.000 0.000 0.000 15.901" Properties=species:S:1:pos:R:3 pbc="T T T"
Rb 2.247 5.760 11.926
Rb 2.247 -5.760 3.975
Tb 2.247 1.996 9.042
Tb 2.247 1.996 14.810
Tb 2.247 -1.996 1.091
Tb 2.247 -1.996 6.859
Ag 2.247 5.173 3.975
Ag 2.247 -5.173 11.926
Te 0.000 0.000 0.000
Te 0.000 0.000 7.951
Te 2.247 3.604 1.641
Te 2.247 3.604 6.309
Te 2.247 0.838 11.926
Te 2.247 -0.838 3.975
Te 2.247 -3.604 9.592
Te 2.247 -3.604 14.260
```

total moment = 0.000 μB per formula unit
total energy = -69.60 eV for the cell shown


Record 19
DFT (PBE) results for a relaxed AlHg2O crystal.

The structure in extended XYZ format:
```
4
Lattice="0.000 3.318 3.318 3.318 0.000 3.318 3.318 3.318 0.000" Properties=species:S:1:pos:R:3 pbc="T T T"
Al 0.000 0.000 0.000
Hg 1.659 1.659 1.659
Hg 4.976 4.976 4.976
O 3.318 3.318 3.318
```

ΔE to the lowest computed polymorph = 0.267 eV/atom
total moment = 0.534 μB per formula unit


Record 20
DFT (PBE) results for a relaxed Ca2EuTl crystal.

The structure in extended XYZ format:
```
4
Lattice="5.073 0.000 0.000 0.000 5.073 0.000 0.000 0.000 5.288" Properties=species:S:1:pos:R:3 pbc="T T T"
Ca 0.000 2.536 0.000
Ca 2.536 0.000 0.000
Eu 0.000 0.000 2.644
Tl 2.536 2.536 2.644
```

ΔE to the lowest computed polymorph = 0.000 eV/atom
total moment = 7.366 μB per formula unit
DFT formation energy = -0.183 eV per atom


In the order shown, the computed calculated density values come out to 4.1; 13.1; 5.3; 4.5; 2.8; 15.0; 2.6; 8.5; 12.8; 12.3; 5.8; 6.6; 3.7; 4.7; 5.1; 14.4; 6.0; 6.2; 10.1; 5.3 Mg/m³.